Entry from the Alexandria database: a relaxed CsMnRe3 crystal (GGA-PBE).

CIF file:
```
data_CsMnRe3
_cell_length_a 4.8277
_cell_length_b 4.8277
_cell_length_c 4.8277
_cell_angle_alpha 90.00
_cell_angle_beta 90.00
_cell_angle_gamma 90.00
_space_group_name_H-M_alt 'P m -3 m'
_space_group_IT_number 221
_space_group_name_Hall '-P 4 2 3'
loop_
_atom_site_label
_atom_site_type_symbol
_atom_site_fract_x
_atom_site_fract_y
_atom_site_fract_z
Cs1 Cs 0.0000 0.0000 0.0000
Mn1 Mn 0.5000 0.5000 0.5000
Re1 Re 0.0000 0.0000 0.5000
```

Properties
electronic total energy: -4.97 eV/atom
theoretical density: 11.02 g/cm³
DFT formation energy: 4504 meV/atom